VASP calculation (PBE-GGA) on crystalline Sc4GaCoCu2 at its relaxed geometry.

Lattice parameters (Å, degrees): 4.6027 4.6027 22.4609 90.00 90.00 120.00
Space group R-3m (No. 166, hexagonal axes)
Inequivalent atoms, fractional coordinates:
Sc 0.0000 0.0000 0.1182 [6 per cell]
Sc 0.0000 0.0000 0.3699 [6 per cell]
Ga 0.0000 0.0000 0.5000 [3 per cell]
Co 0.0000 0.0000 0.0000 [3 per cell]
Cu 0.0000 0.0000 0.2458 [6 per cell]

Properties
* DFT total energy: -5.856 eV per atom
* D(E_F): 3.997 states/eV/f.u.
* DFT formation energy: -400 meV/atom

VASP calculation (PBE-GGA) on crystalline ScGaCoCu at its relaxed geometry.

Lattice parameters (Å, degrees): 6.0950 6.0950 6.0950 90.00 90.00 90.00
Space group F-43m (No. 216)
Inequivalent atoms, fractional coordinates:
Sc 0.0000 0.0000 0.0000 [4 per cell]
Ga 0.0000 0.0000 0.5000 [4 per cell]
Co 0.2500 0.2500 0.7500 [4 per cell]
Cu 0.2500 0.2500 0.2500 [4 per cell]

Properties
* DFT total energy: -5.474 eV per atom
* D(E_F): 2.913 states/eV/f.u.
* DFT formation energy: -334 meV/atom

VASP calculation (PBE-GGA) on crystalline Sm2Ga3CoCu12 at its relaxed geometry.

Lattice parameters (Å, degrees): 5.3120 5.3120 34.6649 90.00 90.00 120.00
Space group R-3m (No. 166, hexagonal axes)
Inequivalent atoms, fractional coordinates:
Sm 0.0000 0.0000 0.1445 [6 per cell]
Ga 0.0000 0.5000 0.0000 [9 per cell]
Co 0.0000 0.0000 0.5000 [3 per cell]
Cu 0.0080 0.5040 0.1100 [18 per cell]
Cu 0.0200 0.5100 0.6104 [18 per cell]

Properties
* DFT total energy: -4.064 eV per atom
* D(E_F): 12.670 states/eV/f.u.
* DFT formation energy: 91 meV/atom

VASP calculation (PBE-GGA) on crystalline SmGa4CoCu2 at its relaxed geometry.

Lattice parameters (Å, degrees): 4.1416 4.1416 26.3885 90.00 90.00 120.00
Space group R-3m (No. 166, hexagonal axes)
Inequivalent atoms, fractional coordinates:
Sm 0.0000 0.0000 0.0000 [3 per cell]
Ga 0.0000 0.0000 0.1336 [6 per cell]
Ga 0.0000 0.0000 0.4044 [6 per cell]
Co 0.0000 0.0000 0.5000 [3 per cell]
Cu 0.0000 0.0000 0.2351 [6 per cell]

Properties
* DFT total energy: -4.317 eV per atom
* D(E_F): 4.469 states/eV/f.u.
* DFT formation energy: -301 meV/atom

VASP calculation (PBE-GGA) on crystalline Sm2Ga5Co2Cu at its relaxed geometry.

Lattice parameters (Å, degrees): 9.4530 9.4530 3.8805 90.00 90.00 90.00
Space group P4/mbm (No. 127)
Inequivalent atoms, fractional coordinates:
Sm 0.1858 0.3142 0.0000 [4 per cell]
Ga 0.0000 0.5000 0.5000 [2 per cell]
Ga 0.0551 0.7959 0.5000 [8 per cell]
Co 0.1105 0.6105 0.0000 [4 per cell]
Cu 0.0000 0.0000 0.0000 [2 per cell]

Properties
* DFT total energy: -4.633 eV per atom
* D(E_F): 8.332 states/eV/f.u.
* DFT formation energy: -345 meV/atom

VASP calculation (PBE-GGA) on crystalline SrGa2CoCu at its relaxed geometry.

Lattice parameters (Å, degrees): 4.5417 4.5417 4.8538 90.00 90.00 90.00
Space group P4/mmm (No. 123)
Inequivalent atoms, fractional coordinates:
Sr 0.0000 0.0000 0.0000 [1 per cell]
Ga 0.0000 0.5000 0.5000 [2 per cell]
Co 0.5000 0.5000 0.5000 [1 per cell]
Cu 0.5000 0.5000 0.0000 [1 per cell]

Properties
* DFT total energy: -3.984 eV per atom
* D(E_F): 1.901 states/eV/f.u.
* DFT formation energy: -196 meV/atom

VASP calculation (PBE-GGA) on crystalline TaGa2CoCu at its relaxed geometry.

Lattice parameters (Å, degrees): 4.3339 4.3339 4.3532 90.00 90.00 90.00
Space group P4/mmm (No. 123)
Inequivalent atoms, fractional coordinates:
Ta 0.0000 0.0000 0.0000 [1 per cell]
Ga 0.0000 0.5000 0.5000 [2 per cell]
Co 0.5000 0.5000 0.0000 [1 per cell]
Cu 0.5000 0.5000 0.5000 [1 per cell]

Properties
* DFT total energy: -5.022 eV per atom
* D(E_F): 5.083 states/eV/f.u.
* DFT formation energy: 799 meV/atom

VASP calculation (PBE-GGA) on crystalline TaGaCoCu at its relaxed geometry.

Lattice parameters (Å, degrees): 6.0092 6.0092 6.0092 90.00 90.00 90.00
Space group F-43m (No. 216)
Inequivalent atoms, fractional coordinates:
Ta 0.0000 0.0000 0.0000 [4 per cell]
Ga 0.0000 0.0000 0.5000 [4 per cell]
Co 0.2500 0.2500 0.2500 [4 per cell]
Cu 0.2500 0.2500 0.7500 [4 per cell]

Properties
* DFT total energy: -6.693 eV per atom
* D(E_F): 1.775 states/eV/f.u.
* DFT formation energy: -172 meV/atom

VASP calculation (PBE-GGA) on crystalline TbGa3CoCu at its relaxed geometry.

Lattice parameters (Å, degrees): 6.1888 11.4148 6.0433 90.00 90.00 90.00
Space group Cmcm (No. 63)
Inequivalent atoms, fractional coordinates:
Tb 0.0000 0.2211 0.2500 [4 per cell]
Ga 0.0000 0.3227 0.7500 [4 per cell]
Ga 0.2063 0.0000 0.0000 [8 per cell]
Co 0.0000 0.1225 0.7500 [4 per cell]
Cu 0.0000 0.4631 0.2500 [4 per cell]

Properties
* DFT total energy: -4.335 eV per atom
* D(E_F): 3.085 states/eV/f.u.
* DFT formation energy: -183 meV/atom

VASP calculation (PBE-GGA) on crystalline TbGaCoCu at its relaxed geometry.

Lattice parameters (Å, degrees): 6.3696 6.3696 6.3696 90.00 90.00 90.00
Space group F-43m (No. 216)
Inequivalent atoms, fractional coordinates:
Tb 0.0000 0.0000 0.0000 [4 per cell]
Ga 0.0000 0.0000 0.5000 [4 per cell]
Co 0.2500 0.2500 0.7500 [4 per cell]
Cu 0.2500 0.2500 0.2500 [4 per cell]

Properties
* DFT total energy: -4.900 eV per atom
* D(E_F): 2.883 states/eV/f.u.
* DFT formation energy: -186 meV/atom

VASP calculation (PBE-GGA) on crystalline GaCoCuTc at its relaxed geometry.

Lattice parameters (Å, degrees): 5.9208 5.9208 5.9208 90.00 90.00 90.00
Space group F-43m (No. 216)
Inequivalent atoms, fractional coordinates:
Ga 0.0000 0.0000 0.0000 [4 per cell]
Co 0.2500 0.2500 0.2500 [4 per cell]
Cu 0.2500 0.2500 0.7500 [4 per cell]
Tc 0.0000 0.0000 0.5000 [4 per cell]

Properties
* DFT total energy: -6.050 eV per atom
* D(E_F): 2.425 states/eV/f.u.
* DFT formation energy: 99 meV/atom

VASP calculation (PBE-GGA) on crystalline ThGaCoCu2 at its relaxed geometry.

Lattice parameters (Å, degrees): 3.6742 3.9344 11.5330 90.00 90.00 90.00
Space group Imm2 (No. 44)
Inequivalent atoms, fractional coordinates:
Th 0.0000 0.0000 0.0000 [2 per cell]
Ga 0.0000 0.5000 0.7651 [2 per cell]
Co 0.0000 0.0000 0.4151 [2 per cell]
Cu 0.0000 0.0000 0.6264 [2 per cell]
Cu 0.0000 0.5000 0.2731 [2 per cell]

Properties
* DFT total energy: -5.411 eV per atom
* D(E_F): 3.380 states/eV/f.u.
* DFT formation energy: -262 meV/atom

VASP calculation (PBE-GGA) on crystalline Th2Ga3CoCu12 at its relaxed geometry.

Lattice parameters (Å, degrees): 5.2975 5.2975 35.2858 90.00 90.00 120.00
Space group R-3m (No. 166, hexagonal axes)
Inequivalent atoms, fractional coordinates:
Th 0.0000 0.0000 0.1447 [6 per cell]
Ga 0.0000 0.5000 0.0000 [9 per cell]
Co 0.0000 0.0000 0.5000 [3 per cell]
Cu 0.0075 0.5038 0.1093 [18 per cell]
Cu 0.0176 0.5088 0.6107 [18 per cell]

Properties
* DFT total energy: -4.362 eV per atom
* D(E_F): 10.706 states/eV/f.u.
* DFT formation energy: 93 meV/atom

VASP calculation (PBE-GGA) on crystalline Th2Ga4CoCu3 at its relaxed geometry.

Lattice parameters (Å, degrees): 4.2363 4.2363 9.9047 90.00 90.00 90.00
Space group P-4m2 (No. 115)
Inequivalent atoms, fractional coordinates:
Th 0.0000 0.5000 0.2361 [2 per cell]
Ga 0.0000 0.0000 0.5000 [1 per cell]
Ga 0.0000 0.5000 0.8770 [2 per cell]
Ga 0.5000 0.5000 0.5000 [1 per cell]
Co 0.5000 0.5000 0.0000 [1 per cell]
Cu 0.0000 0.0000 0.0000 [1 per cell]
Cu 0.0000 0.5000 0.6326 [2 per cell]

Properties
* DFT total energy: -5.051 eV per atom
* D(E_F): 8.301 states/eV/f.u.
* DFT formation energy: -417 meV/atom

VASP calculation (PBE-GGA) on crystalline ThGa2Co2Cu at its relaxed geometry.

Lattice parameters (Å, degrees): 4.4205 4.4205 5.4344 90.00 90.00 90.00
Space group P4/mmm (No. 123)
Inequivalent atoms, fractional coordinates:
Th 0.0000 0.0000 0.0000 [1 per cell]
Ga 0.0000 0.5000 0.5000 [2 per cell]
Co 0.5000 0.5000 0.2104 [2 per cell]
Cu 0.0000 0.0000 0.5000 [1 per cell]

Properties
* DFT total energy: -5.150 eV per atom
* D(E_F): 4.371 states/eV/f.u.
* DFT formation energy: 147 meV/atom

VASP calculation (PBE-GGA) on crystalline ThGa2CoCu2 at its relaxed geometry.

Lattice parameters (Å, degrees): 4.5966 4.5966 5.0665 90.00 90.00 90.00
Space group P4/mmm (No. 123)
Inequivalent atoms, fractional coordinates:
Th 0.0000 0.0000 0.0000 [1 per cell]
Ga 0.0000 0.5000 0.5000 [2 per cell]
Co 0.0000 0.0000 0.5000 [1 per cell]
Cu 0.5000 0.5000 0.2352 [2 per cell]

Properties
* DFT total energy: -4.972 eV per atom
* D(E_F): 4.509 states/eV/f.u.
* DFT formation energy: -177 meV/atom

VASP calculation (PBE-GGA) on crystalline TmGa3CoCu at its relaxed geometry.

Lattice parameters (Å, degrees): 6.1796 11.6125 5.7653 90.00 90.00 90.00
Space group Cmcm (No. 63)
Inequivalent atoms, fractional coordinates:
Tm 0.0000 0.2152 0.2500 [4 per cell]
Ga 0.0000 0.3331 0.7500 [4 per cell]
Ga 0.2043 0.0000 0.0000 [8 per cell]
Co 0.0000 0.1321 0.7500 [4 per cell]
Cu 0.0000 0.4485 0.2500 [4 per cell]

Properties
* DFT total energy: -4.287 eV per atom
* D(E_F): 3.225 states/eV/f.u.
* DFT formation energy: -161 meV/atom

VASP calculation (PBE-GGA) on crystalline Tm2Ga4Co3Cu at its relaxed geometry.

Lattice parameters (Å, degrees): 3.8603 3.8603 10.7762 90.00 90.00 90.00
Space group P-4m2 (No. 115)
Inequivalent atoms, fractional coordinates:
Tm 0.0000 0.5000 0.2350 [2 per cell]
Ga 0.0000 0.0000 0.0000 [1 per cell]
Ga 0.0000 0.5000 0.6372 [2 per cell]
Ga 0.5000 0.5000 0.0000 [1 per cell]
Co 0.0000 0.5000 0.8585 [2 per cell]
Co 0.5000 0.5000 0.5000 [1 per cell]
Cu 0.0000 0.0000 0.5000 [1 per cell]

Properties
* DFT total energy: -5.036 eV per atom
* D(E_F): 6.081 states/eV/f.u.
* DFT formation energy: -390 meV/atom

VASP calculation (PBE-GGA) on crystalline TmGaCoCu at its relaxed geometry.

Lattice parameters (Å, degrees): 6.2853 6.2853 6.2853 90.00 90.00 90.00
Space group F-43m (No. 216)
Inequivalent atoms, fractional coordinates:
Tm 0.0000 0.0000 0.0000 [4 per cell]
Ga 0.0000 0.0000 0.5000 [4 per cell]
Co 0.2500 0.2500 0.7500 [4 per cell]
Cu 0.2500 0.2500 0.2500 [4 per cell]

Properties
* DFT total energy: -4.917 eV per atom
* D(E_F): 2.723 states/eV/f.u.
* DFT formation energy: -242 meV/atom

VASP calculation (PBE-GGA) on crystalline VGaCoCu at its relaxed geometry.

Lattice parameters (Å, degrees): 5.8272 5.8272 5.8272 90.00 90.00 90.00
Space group F-43m (No. 216)
Inequivalent atoms, fractional coordinates:
V 0.0000 0.0000 0.0000 [4 per cell]
Ga 0.0000 0.0000 0.5000 [4 per cell]
Co 0.2500 0.2500 0.2500 [4 per cell]
Cu 0.2500 0.2500 0.7500 [4 per cell]

Properties
* DFT total energy: -5.981 eV per atom
* D(E_F): 1.820 states/eV/f.u.
* DFT formation energy: -144 meV/atom

VASP calculation (PBE-GGA) on crystalline GaCo2CuW at its relaxed geometry.

Lattice parameters (Å, degrees): 4.2626 4.2626 4.6906 90.00 90.00 90.00
Space group P4/mmm (No. 123)
Inequivalent atoms, fractional coordinates:
Ga 0.0000 0.0000 0.0000 [1 per cell]
Co 0.0000 0.5000 0.0000 [2 per cell]
Cu 0.5000 0.5000 0.5000 [1 per cell]
W 0.0000 0.0000 0.5000 [1 per cell]

Properties
* DFT total energy: -5.371 eV per atom
* D(E_F): 6.106 states/eV/f.u.
* DFT formation energy: 1487 meV/atom

VASP calculation (PBE-GGA) on crystalline YGa3CoCu at its relaxed geometry.

Lattice parameters (Å, degrees): 6.0956 11.9168 5.6603 90.00 90.00 90.00
Space group Cmcm (No. 63)
Inequivalent atoms, fractional coordinates:
Y 0.0000 0.2295 0.2500 [4 per cell]
Ga 0.0000 0.3533 0.7500 [4 per cell]
Ga 0.2061 0.0000 0.0000 [8 per cell]
Co 0.0000 0.4417 0.2500 [4 per cell]
Cu 0.0000 0.1472 0.7500 [4 per cell]

Properties
* DFT total energy: -4.693 eV per atom
* D(E_F): 2.513 states/eV/f.u.
* DFT formation energy: -236 meV/atom

VASP calculation (PBE-GGA) on crystalline Y2Ga4CoCu3 at its relaxed geometry.

Lattice parameters (Å, degrees): 4.0341 4.0341 10.4422 90.00 90.00 90.00
Space group P-4m2 (No. 115)
Inequivalent atoms, fractional coordinates:
Y 0.0000 0.5000 0.2454 [2 per cell]
Ga 0.0000 0.0000 0.5000 [1 per cell]
Ga 0.0000 0.5000 0.8717 [2 per cell]
Ga 0.5000 0.5000 0.5000 [1 per cell]
Co 0.5000 0.5000 0.0000 [1 per cell]
Cu 0.0000 0.0000 0.0000 [1 per cell]
Cu 0.0000 0.5000 0.6401 [2 per cell]

Properties
* DFT total energy: -4.867 eV per atom
* D(E_F): 5.778 states/eV/f.u.
* DFT formation energy: -424 meV/atom

VASP calculation (PBE-GGA) on crystalline ZnGaCoCu at its relaxed geometry.

Lattice parameters (Å, degrees): 5.8572 5.8572 5.8572 90.00 90.00 90.00
Space group F-43m (No. 216)
Inequivalent atoms, fractional coordinates:
Zn 0.0000 0.0000 0.0000 [4 per cell]
Ga 0.0000 0.0000 0.5000 [4 per cell]
Co 0.2500 0.2500 0.2500 [4 per cell]
Cu 0.2500 0.2500 0.7500 [4 per cell]

Properties
* DFT total energy: -3.978 eV per atom
* D(E_F): 3.228 states/eV/f.u.
* DFT formation energy: -103 meV/atom